Entry 1:
The following is a DFT calculation (GGA-PBE) of a relaxed structure of Mn3Ag5.

Summary:
The total energy comes out at -0.3576 Ry per atom. As for the space group: Cm (8). For the energy of formation from the pure elements, the calculation gives 355 meV/atom. The calculation puts the energy relative to the lowest polymorph listed for this composition at 0.0 meV/atom. For the density of states at the Fermi level, the calculation gives 4.5 states/eV/f.u.

a b c (Å): 7.8346 7.8352 7.7917
angles (deg): 96.28 96.27 141.75
Last column: nearest neighbours and their distance in Å.
Fractional coordinates of all 16 atoms:
Mn: 0.1750 0.3264 0.5010  10 Ag 2.73-2.96
Mn: 0.2500 0.2498 0.9994  2 Mn 2.57, 8 Ag 2.82-2.84
Mn: 0.3277 0.8277 0.1542  10 Ag 2.72-2.96
Mn: 0.6738 0.1738 0.8478  10 Ag 2.72-2.96
Mn: 0.7498 0.7500 0.9994  2 Mn 2.57, 8 Ag 2.82-2.84
Mn: 0.8264 0.6751 0.5010  10 Ag 2.73-2.96
Ag: 0.0730 0.7698 0.8417  6 Mn 2.72-2.96, 3 Ag 2.91-2.97
Ag: 0.2311 0.0712 0.3023  6 Mn 2.73-2.96, 3 Ag 2.90-2.97
Ag: 0.2495 0.7494 0.4990  2 Ag 2.56-2.57, 2 Mn 2.85-2.86
Ag: 0.2699 0.5730 0.8418  6 Mn 2.72-2.95, 3 Ag 2.91-2.97
Ag: 0.4298 0.2685 0.6975  6 Mn 2.73-2.95, 3 Ag 2.90-2.97
Ag: 0.5712 0.7311 0.3022  6 Mn 2.73-2.96, 3 Ag 2.90-2.97
Ag: 0.7312 0.4285 0.1599  6 Mn 2.72-2.96, 3 Ag 2.92-2.97
Ag: 0.7515 0.2516 0.5022  2 Ag 2.56-2.57, 2 Mn 2.85-2.86
Ag: 0.7685 0.9298 0.6975  6 Mn 2.73-2.95, 3 Ag 2.90-2.97
Ag: 0.9285 0.2310 0.1598  6 Mn 2.72-2.96, 3 Ag 2.92-2.97



Entry 2:
The following is a DFT calculation (GGA-PBE) of a relaxed structure of LiDyPtPb.

Summary:
The total energy comes out at -0.3532 Ry per atom. As for the space group: F-43m (216). For the energy of formation from the pure elements, the calculation gives -739 meV/atom. For the density of states at the Fermi level, the calculation gives 0.6 states/eV/f.u.

a b c (Å): 4.8268 4.8268 4.8268
angles (deg): 60.00 60.00 60.00
Last column: nearest neighbours and their distance in Å.
Fractional coordinates of all 4 atoms:
Pb: 0.0000 0.0000 0.0000  4 Li 2.96, 4 Pt 2.96
Li: 0.2500 0.2500 0.2500  4 Dy 2.96, 4 Pb 2.96
Pt: 0.7500 0.7500 0.7500  4 Pb 2.96, 4 Dy 2.96
Dy: 0.5000 0.5000 0.5000  4 Pt 2.96, 4 Li 2.96



Entry 3:
The following is a DFT calculation (GGA-PBE) of a relaxed structure of Ho6In2Ag.

Summary:
The total energy comes out at -0.3118 Ry per atom. As for the space group: P4_2/mnm (136). For the energy of formation from the pure elements, the calculation gives -265 meV/atom. For the density of states at the Fermi level, the calculation gives 10.8 states/eV/f.u.

a b c (Å): 5.0366 9.9230 9.9235
angles (deg): 90.00 90.00 90.00
Last column: nearest neighbours and their distance in Å.
Fractional coordinates of all 18 atoms:
Ho: 0.0000 0.0235 0.1791  1 Ag 3.19, 3 In 3.20-3.30, 7 Ho 3.51-3.57
Ho: 0.9999 0.6791 0.5237  1 Ag 3.19, 3 In 3.20-3.30, 7 Ho 3.51-3.57
Ho: 0.9999 0.6242 0.8760  2 Ag 3.06, 2 In 3.33
Ho: 0.5001 0.1242 0.6240  2 Ag 3.06, 2 In 3.33
Ho: 0.5001 0.1791 0.9763  1 Ag 3.19, 3 In 3.20-3.30, 7 Ho 3.51-3.57
Ho: 0.5000 0.5235 0.3209  1 Ag 3.19, 3 In 3.20-3.30, 7 Ho 3.51-3.57
Ho: 0.0000 0.9765 0.8209  1 Ag 3.19, 3 In 3.20-3.30, 7 Ho 3.51-3.57
Ho: 0.0001 0.3209 0.4763  1 Ag 3.19, 3 In 3.20-3.30, 7 Ho 3.51-3.57
Ho: 0.0001 0.3758 0.1240  2 Ag 3.06, 2 In 3.33
Ho: 0.4999 0.8758 0.3760  2 Ag 3.06, 2 In 3.33
Ho: 0.4999 0.8209 0.0237  1 Ag 3.19, 3 In 3.20-3.30, 7 Ho 3.51-3.57
Ho: 0.5000 0.4765 0.6791  1 Ag 3.19, 3 In 3.20-3.30, 7 Ho 3.51-3.57
In: 0.0001 0.2979 0.7976  10 Ho 3.20-3.50
In: 0.4999 0.7979 0.7024  10 Ho 3.20-3.50
In: 0.5001 0.2021 0.2976  10 Ho 3.20-3.50
In: 0.9999 0.7021 0.2024  10 Ho 3.20-3.50
Ag: 0.5000 0.5000 0.0000  8 Ho 3.06-3.19
Ag: 0.0000 0.0000 0.5000  8 Ho 3.06-3.19



Entry 4:
The following is a DFT calculation (GGA-PBE) of a relaxed structure of Li7Ge3.

Summary:
The total energy comes out at -0.2167 Ry per atom. As for the space group: P6_3mc (186). For the energy of formation from the pure elements, the calculation gives -224 meV/atom. For the density of states at the Fermi level, the calculation gives 1.7 states/eV/f.u.

a b c (Å): 4.4525 9.2224 9.2224
angles (deg): 120.00 90.00 90.00
Last column: nearest neighbours and their distance in Å.
Fractional coordinates of all 20 atoms:
Li: 0.8444 0.3333 0.6667  3 Li 2.25
Li: 0.3444 0.6667 0.3333  3 Li 2.25
Li: 0.8425 0.7376 0.8688  2 Ge 2.75-2.76, 6 Li 2.87-3.06
Li: 0.8425 0.1312 0.2624  2 Ge 2.75-2.76, 6 Li 2.87-3.06
Li: 0.8425 0.1312 0.8688  2 Ge 2.75-2.76, 6 Li 2.87-3.06
Li: 0.3425 0.2624 0.1312  2 Ge 2.75-2.76, 6 Li 2.87-3.06
Li: 0.3425 0.8688 0.7376  2 Ge 2.75-2.76, 6 Li 2.87-3.06
Li: 0.3425 0.8688 0.1312  2 Ge 2.75-2.76, 6 Li 2.87-3.06
Li: 0.3365 0.9482 0.4741  3 Li 2.25-2.38
Li: 0.3365 0.5259 0.0518  3 Li 2.25-2.38
Li: 0.3365 0.5259 0.4741  3 Li 2.25-2.38
Li: 0.8365 0.0518 0.5259  3 Li 2.25-2.38
Li: 0.8365 0.4741 0.9482  3 Li 2.25-2.38
Li: 0.8365 0.4741 0.5259  3 Li 2.25-2.38
Ge: 0.8422 0.4657 0.2329  8 Li 2.66-2.98, 2 Ge 2.78
Ge: 0.8422 0.7671 0.5343  8 Li 2.66-2.98, 2 Ge 2.78
Ge: 0.8422 0.7671 0.2329  8 Li 2.66-2.98, 2 Ge 2.78
Ge: 0.3422 0.5343 0.7671  8 Li 2.66-2.98, 2 Ge 2.78
Ge: 0.3422 0.2329 0.4657  8 Li 2.66-2.98, 2 Ge 2.78
Ge: 0.3422 0.2329 0.7671  8 Li 2.66-2.98, 2 Ge 2.78



- energy of formation from the pure elements of number 3 (Ho6In2Ag)?
  -265 meV/atom